In2MoAu | Alexandria | GGA-PBE | relaxed; polymorph energy (0 for the lowest one) = 124 meV per atom
1.0
4.7789 -1.4917 0.0000
4.7789 1.4917 0.0000
-1.1243 0.0000 5.4460
In Mo Au
2 1 1
Cartesian
2.1154 0.0000 1.3244
6.3181 0.0000 4.1216
4.7789 0.0000 0.0000
-0.5622 0.0000 2.7230


Entry from Alexandria: a relaxed structure of InMoAu2 (GGA-PBE).

Structure (POSCAR):
```
InMoAu2
1.0
2.8721 0.0000 0.0000
0.0000 4.4432 0.0000
-1.4214 0.0000 5.7374
In Mo Au
1 1 2
Cartesian
0.0000 0.0000 0.0000
1.4354 2.2216 1.2647
0.0032 0.0000 2.7726
1.4449 2.2216 4.0914
```


Entry from Alexandria: a relaxed structure of InMo2Au (GGA-PBE).

Structure (POSCAR):
```
InMo2Au
1.0
-3.7661 3.7661 2.7082
3.7661 -3.7661 2.7082
3.7661 3.7661 -2.7082
In Mo Au
2 4 2
Cartesian
0.0000 0.0000 0.0000
0.0000 3.7661 1.3541
1.8830 -1.8038 2.0311
1.9623 1.8830 0.6770
1.8830 5.5699 -0.6770
1.8038 1.8830 3.3852
3.7661 0.0000 1.3541
0.0000 0.0000 2.7082
```


In2MoAu | Alexandria | GGA-PBE | relaxed; polymorph energy (0 for the lowest one) = 48 meV per atom
1.0
3.0495 0.0000 0.0000
0.0000 4.9106 0.0000
0.0000 0.0000 5.1621
In Mo Au
2 1 1
Cartesian
0.0000 0.0000 0.0000
0.0000 2.4553 2.0712
1.5248 2.4553 4.6098
1.5248 0.0000 2.7007


Computed values of E_form (unit: eV per formula unit) for the preceding records, in sequence: 1.164; 0.992; 3.416; 0.861.